# 1
# TbThFe | Alexandria | PBE | optimized geometry
data_TbThFe
_chemical_formula_sum 'Tb1 Th1 Fe1'
_cell_length_a 3.428
_cell_length_b 3.428
_cell_length_c 6.708
_cell_angle_alpha 104.80
_cell_angle_beta 104.80
_cell_angle_gamma 90.00
_symmetry_space_group_name_H-M 'P 1'
_symmetry_Int_Tables_number 1
loop_
_symmetry_equiv_pos_as_xyz
'x,y,z'
loop_
_atom_site_label
_atom_site_type_symbol
_atom_site_fract_x
_atom_site_fract_y
_atom_site_fract_z
Tb1 Tb 0.030 0.030 0.061
Fe1 Fe 0.674 0.674 0.348
Th1 Th 0.296 0.296 0.592
# DOS at the Fermi energy in states/eV per cell: 4.0
# E above lowest polymorph in meV/atom: 99

# 2
# TbThFe | Alexandria | PBE | optimized geometry
data_TbThFe
_chemical_formula_sum 'Tb4 Th4 Fe4'
_cell_length_a 6.978
_cell_length_b 6.599
_cell_length_c 7.238
_cell_angle_alpha 90.00
_cell_angle_beta 113.20
_cell_angle_gamma 90.00
_symmetry_space_group_name_H-M 'P 1'
_symmetry_Int_Tables_number 1
loop_
_symmetry_equiv_pos_as_xyz
'x,y,z'
loop_
_atom_site_label
_atom_site_type_symbol
_atom_site_fract_x
_atom_site_fract_y
_atom_site_fract_z
Fe1 Fe 0.510 0.468 0.190
Fe2 Fe 0.490 0.532 0.810
Fe3 Fe 0.010 0.032 0.690
Fe4 Fe 0.990 0.968 0.310
Th1 Th 0.219 0.312 0.884
Th2 Th 0.781 0.688 0.116
Th3 Th 0.281 0.812 0.616
Th4 Th 0.719 0.188 0.384
Tb1 Tb 0.254 0.828 0.094
Tb2 Tb 0.754 0.672 0.594
Tb3 Tb 0.746 0.172 0.906
Tb4 Tb 0.246 0.328 0.406
# DOS at the Fermi energy in states/eV per cell: 9.2
# E above lowest polymorph in meV/atom: 0

# 3
# Tb2ThFe2 | Alexandria | PBE | optimized geometry
data_Tb2ThFe2
_chemical_formula_sum 'Tb4 Th2 Fe4'
_cell_length_a 6.086
_cell_length_b 6.052
_cell_length_c 7.202
_cell_angle_alpha 98.63
_cell_angle_beta 90.00
_cell_angle_gamma 120.18
_symmetry_space_group_name_H-M 'P 1'
_symmetry_Int_Tables_number 1
loop_
_symmetry_equiv_pos_as_xyz
'x,y,z'
loop_
_atom_site_label
_atom_site_type_symbol
_atom_site_fract_x
_atom_site_fract_y
_atom_site_fract_z
Tb1 Tb 0.550 0.309 0.149
Tb2 Tb 0.240 0.691 0.351
Tb3 Tb 0.450 0.691 0.851
Tb4 Tb 0.760 0.309 0.649
Th1 Th 0.917 0.000 0.250
Th2 Th 0.083 0.000 0.750
Fe1 Fe 0.679 0.681 0.488
Fe2 Fe 0.998 0.319 0.012
Fe3 Fe 0.321 0.319 0.512
Fe4 Fe 0.002 0.681 0.988
# Energy in eV per atom: -6.759
# DOS at the Fermi energy in states/eV per cell: 9.7

# 4
# TbThFe4 | Alexandria | PBE | optimized geometry
data_TbThFe4
_chemical_formula_sum 'Tb1 Th1 Fe4'
_cell_length_a 5.196
_cell_length_b 5.196
_cell_length_c 5.196
_cell_angle_alpha 60.00
_cell_angle_beta 60.00
_cell_angle_gamma 60.00
_symmetry_space_group_name_H-M 'P 1'
_symmetry_Int_Tables_number 1
loop_
_symmetry_equiv_pos_as_xyz
'x,y,z'
loop_
_atom_site_label
_atom_site_type_symbol
_atom_site_fract_x
_atom_site_fract_y
_atom_site_fract_z
Tb1 Tb 0.000 0.000 0.000
Fe1 Fe 0.625 0.625 0.125
Fe2 Fe 0.625 0.125 0.625
Fe3 Fe 0.625 0.625 0.625
Fe4 Fe 0.125 0.625 0.625
Th1 Th 0.250 0.250 0.250
# Energy in eV per atom: -7.719
# DOS at the Fermi energy in states/eV per cell: 4.5

# 5
# TbTh3Fe2 | Alexandria | PBE | optimized geometry
data_TbTh3Fe2
_chemical_formula_sum 'Tb2 Th6 Fe4'
_cell_length_a 6.730
_cell_length_b 7.082
_cell_length_c 7.397
_cell_angle_alpha 104.99
_cell_angle_beta 90.00
_cell_angle_gamma 118.37
_symmetry_space_group_name_H-M 'P 1'
_symmetry_Int_Tables_number 1
loop_
_symmetry_equiv_pos_as_xyz
'x,y,z'
loop_
_atom_site_label
_atom_site_type_symbol
_atom_site_fract_x
_atom_site_fract_y
_atom_site_fract_z
Tb1 Tb 0.238 0.000 0.250
Tb2 Tb 0.762 0.000 0.750
Th1 Th 0.272 0.000 0.750
Th2 Th 0.728 0.000 0.250
Th3 Th 0.780 0.553 0.888
Th4 Th 0.227 0.447 0.612
Th5 Th 0.773 0.553 0.388
Th6 Th 0.220 0.447 0.112
Fe1 Fe 0.381 0.750 0.436
Fe2 Fe 0.368 0.750 0.936
Fe3 Fe 0.632 0.250 0.064
Fe4 Fe 0.619 0.250 0.564
# Energy in eV per atom: -7.355
# DOS at the Fermi energy in states/eV per cell: 13.1

# 6
# TbTh2Fe | Alexandria | PBE | optimized geometry
data_TbTh2Fe
_chemical_formula_sum 'Tb1 Th2 Fe1'
_cell_length_a 3.510
_cell_length_b 3.510
_cell_length_c 8.675
_cell_angle_alpha 90.00
_cell_angle_beta 90.00
_cell_angle_gamma 90.00
_symmetry_space_group_name_H-M 'P 1'
_symmetry_Int_Tables_number 1
loop_
_symmetry_equiv_pos_as_xyz
'x,y,z'
loop_
_atom_site_label
_atom_site_type_symbol
_atom_site_fract_x
_atom_site_fract_y
_atom_site_fract_z
Tb1 Tb 0.500 0.500 0.500
Fe1 Fe 0.500 0.500 0.000
Th1 Th 0.000 0.000 0.802
Th2 Th 0.000 0.000 0.198
# DOS at the Fermi energy in states/eV per cell: 5.4
# E above lowest polymorph in meV/atom: 161

# 7
# TbThFe2 | Alexandria | PBE | optimized geometry
data_TbThFe2
_chemical_formula_sum 'Tb1 Th1 Fe2'
_cell_length_a 4.010
_cell_length_b 3.871
_cell_length_c 5.795
_cell_angle_alpha 90.00
_cell_angle_beta 110.28
_cell_angle_gamma 90.00
_symmetry_space_group_name_H-M 'P 1'
_symmetry_Int_Tables_number 1
loop_
_symmetry_equiv_pos_as_xyz
'x,y,z'
loop_
_atom_site_label
_atom_site_type_symbol
_atom_site_fract_x
_atom_site_fract_y
_atom_site_fract_z
Tb1 Tb 0.726 0.000 0.992
Th1 Th 0.442 0.500 0.422
Fe1 Fe 0.141 0.500 0.821
Fe2 Fe 0.022 0.000 0.584
# Energy in eV per atom: -7.257
# DOS at the Fermi energy in states/eV per cell: 4.3

# 8
# TbTh4Fe2 | Alexandria | PBE | optimized geometry
data_TbTh4Fe2
_chemical_formula_sum 'Tb2 Th8 Fe4'
_cell_length_a 6.785
_cell_length_b 8.362
_cell_length_c 7.075
_cell_angle_alpha 113.28
_cell_angle_beta 90.00
_cell_angle_gamma 90.00
_symmetry_space_group_name_H-M 'P 1'
_symmetry_Int_Tables_number 1
loop_
_symmetry_equiv_pos_as_xyz
'x,y,z'
loop_
_atom_site_label
_atom_site_type_symbol
_atom_site_fract_x
_atom_site_fract_y
_atom_site_fract_z
Tb1 Tb 0.250 0.773 0.003
Tb2 Tb 0.750 0.227 0.997
Fe1 Fe 0.250 0.357 0.973
Fe2 Fe 0.750 0.643 0.027
Fe3 Fe 0.750 0.367 0.408
Fe4 Fe 0.250 0.633 0.592
Th1 Th 0.499 0.395 0.699
Th2 Th 0.250 0.216 0.227
Th3 Th 0.750 0.784 0.773
Th4 Th 0.001 0.395 0.699
Th5 Th 0.750 0.003 0.335
Th6 Th 0.999 0.605 0.301
Th7 Th 0.501 0.605 0.301
Th8 Th 0.250 0.997 0.665
# Energy in eV per atom: -7.327
# DOS at the Fermi energy in states/eV per cell: 16.7

# 9
# TbTh3Fe | Alexandria | PBE | optimized geometry
data_TbTh3Fe
_chemical_formula_sum 'Tb1 Th3 Fe1'
_cell_length_a 5.320
_cell_length_b 5.320
_cell_length_c 5.320
_cell_angle_alpha 90.00
_cell_angle_beta 90.00
_cell_angle_gamma 90.00
_symmetry_space_group_name_H-M 'P 1'
_symmetry_Int_Tables_number 1
loop_
_symmetry_equiv_pos_as_xyz
'x,y,z'
loop_
_atom_site_label
_atom_site_type_symbol
_atom_site_fract_x
_atom_site_fract_y
_atom_site_fract_z
Tb1 Tb 0.500 0.500 0.500
Fe1 Fe 0.000 0.000 0.000
Th1 Th 0.000 0.500 0.000
Th2 Th 0.000 0.000 0.500
Th3 Th 0.500 0.000 0.000
# Energy in eV per atom: -7.002
# DOS at the Fermi energy in states/eV per cell: 10.2

# 10
# TbTh2Fe | Alexandria | PBE | optimized geometry
data_TbTh2Fe
_chemical_formula_sum 'Tb1 Th2 Fe1'
_cell_length_a 3.860
_cell_length_b 3.860
_cell_length_c 9.096
_cell_angle_alpha 77.75
_cell_angle_beta 77.75
_cell_angle_gamma 60.00
_symmetry_space_group_name_H-M 'P 1'
_symmetry_Int_Tables_number 1
loop_
_symmetry_equiv_pos_as_xyz
'x,y,z'
loop_
_atom_site_label
_atom_site_type_symbol
_atom_site_fract_x
_atom_site_fract_y
_atom_site_fract_z
Tb1 Tb 0.500 0.500 0.499
Th1 Th 0.058 0.058 0.826
Th2 Th 0.276 0.276 0.171
Fe1 Fe 0.665 0.665 0.004
# DOS at the Fermi energy in states/eV per cell: 6.0
# E above lowest polymorph in meV/atom: 109

# 11
# Tb3Th2Fe2 | Alexandria | PBE | optimized geometry
data_Tb3Th2Fe2
_chemical_formula_sum 'Tb3 Th2 Fe2'
_cell_length_a 3.694
_cell_length_b 6.256
_cell_length_c 8.777
_cell_angle_alpha 102.37
_cell_angle_beta 102.16
_cell_angle_gamma 107.13
_symmetry_space_group_name_H-M 'P 1'
_symmetry_Int_Tables_number 1
loop_
_symmetry_equiv_pos_as_xyz
'x,y,z'
loop_
_atom_site_label
_atom_site_type_symbol
_atom_site_fract_x
_atom_site_fract_y
_atom_site_fract_z
Tb1 Tb 0.500 0.000 0.000
Tb2 Tb 0.206 0.825 0.587
Tb3 Tb 0.794 0.175 0.413
Th1 Th 0.630 0.458 0.801
Th2 Th 0.370 0.542 0.199
Fe1 Fe 0.034 0.835 0.232
Fe2 Fe 0.966 0.165 0.768
# Energy in eV per atom: -6.560
# DOS at the Fermi energy in states/eV per cell: 6.7

# 12
# TbThZnFe | Alexandria | PBE | optimized geometry
data_TbThZnFe
_chemical_formula_sum 'Tb1 Th1 Zn1 Fe1'
_cell_length_a 4.998
_cell_length_b 4.998
_cell_length_c 4.998
_cell_angle_alpha 60.00
_cell_angle_beta 60.00
_cell_angle_gamma 60.00
_symmetry_space_group_name_H-M 'P 1'
_symmetry_Int_Tables_number 1
loop_
_symmetry_equiv_pos_as_xyz
'x,y,z'
loop_
_atom_site_label
_atom_site_type_symbol
_atom_site_fract_x
_atom_site_fract_y
_atom_site_fract_z
Zn1 Zn 0.500 0.500 0.500
Tb1 Tb 0.750 0.750 0.750
Fe1 Fe 0.000 0.000 0.000
Th1 Th 0.250 0.250 0.250
# Energy in eV per atom: -5.473
# DOS at the Fermi energy in states/eV per cell: 5.2